No. 1
# Pm2DySb | Alexandria | GGA-PBE | relaxed
data_Pm2DySb
_chemical_formula_sum 'Pm2 Dy1 Sb1'
_cell_length_a 4.894
_cell_length_b 4.843
_cell_length_c 4.843
_cell_angle_alpha 90.00
_cell_angle_beta 90.00
_cell_angle_gamma 90.00
_space_group_name_H-M_alt 'P 1'
_space_group_IT_number 1
_space_group_name_Hall 'P 1'
loop_
_atom_site_label
_atom_site_fract_x
_atom_site_fract_y
_atom_site_fract_z
Pm1 0.000 0.000 0.500
Pm2 0.000 0.500 0.000
Dy1 0.500 0.500 0.500
Sb1 0.500 0.000 0.000
# Space-group type: P4/mmm, No. 123
# Uncorrected formation energy in meV per atom: -519
# Energy above the most stable polymorph in this dataset in kJ/mol of atoms: 1.7

---

No. 2
# PmDy3Sb | Alexandria | GGA-PBE | relaxed
data_PmDy3Sb
_chemical_formula_sum 'Pm4 Dy12 Sb4'
_cell_length_a 8.750
_cell_length_b 8.627
_cell_length_c 9.722
_cell_angle_alpha 122.51
_cell_angle_beta 90.00
_cell_angle_gamma 90.00
_space_group_name_H-M_alt 'P 1'
_space_group_IT_number 1
_space_group_name_Hall 'P 1'
loop_
_atom_site_label
_atom_site_fract_x
_atom_site_fract_y
_atom_site_fract_z
Dy1 0.439 0.235 0.540
Dy2 0.307 0.601 0.076
Dy3 0.693 0.399 0.924
Dy4 0.561 0.765 0.460
Dy5 0.061 0.235 0.040
Dy6 0.193 0.601 0.576
Dy7 0.807 0.399 0.424
Dy8 0.105 0.090 0.315
Dy9 0.939 0.765 0.960
Dy10 0.605 0.910 0.185
Dy11 0.895 0.910 0.685
Dy12 0.395 0.090 0.815
Sb1 0.226 0.897 0.481
Sb2 0.774 0.103 0.519
Sb3 0.274 0.897 0.981
Sb4 0.726 0.103 0.019
Pm1 0.932 0.681 0.273
Pm2 0.568 0.681 0.773
Pm3 0.432 0.319 0.227
Pm4 0.068 0.319 0.727
# Space-group type: P2_1/c, No. 14
# Uncorrected formation energy in meV per atom: -347

---

Question: Which of these has the lowest uncorrected formation energy?
Answer: Pm2DySb

---

Copy entry 2 word for word.
# PmDy3Sb | Alexandria | GGA-PBE | relaxed
data_PmDy3Sb
_chemical_formula_sum 'Pm4 Dy12 Sb4'
_cell_length_a 8.750
_cell_length_b 8.627
_cell_length_c 9.722
_cell_angle_alpha 122.51
_cell_angle_beta 90.00
_cell_angle_gamma 90.00
_space_group_name_H-M_alt 'P 1'
_space_group_IT_number 1
_space_group_name_Hall 'P 1'
loop_
_atom_site_label
_atom_site_fract_x
_atom_site_fract_y
_atom_site_fract_z
Dy1 0.439 0.235 0.540
Dy2 0.307 0.601 0.076
Dy3 0.693 0.399 0.924
Dy4 0.561 0.765 0.460
Dy5 0.061 0.235 0.040
Dy6 0.193 0.601 0.576
Dy7 0.807 0.399 0.424
Dy8 0.105 0.090 0.315
Dy9 0.939 0.765 0.960
Dy10 0.605 0.910 0.185
Dy11 0.895 0.910 0.685
Dy12 0.395 0.090 0.815
Sb1 0.226 0.897 0.481
Sb2 0.774 0.103 0.519
Sb3 0.274 0.897 0.981
Sb4 0.726 0.103 0.019
Pm1 0.932 0.681 0.273
Pm2 0.568 0.681 0.773
Pm3 0.432 0.319 0.227
Pm4 0.068 0.319 0.727
# Space-group type: P2_1/c, No. 14
# Uncorrected formation energy in meV per atom: -347

---

Question: Among the records above, which one has the lowest uncorrected formation energy?
Answer: Pm2DySb

---

Question: Number 2 is which compound?
Answer: PmDy3Sb